# 1
The following is a PBE-GGA calculation of an optimized crystal structure of YEr2Tm2Lu2Te2Pd2, from the Open Quantum Materials Database.

Output
**Energy**: -59.74 eV for the cell shown
**Crystal system**: orthorhombic
**Calculated volume**: 26.32 Å³/atom

Cell: 9.317 9.317 9.317 Å, 155.73 67.04 118.59°
Fractional positions:
Er (0.095, 0.741, 0.355)
Er (0.386, 0.741, 0.645)
Lu (0.419, 0.102, 0.317)
Lu (0.785, 0.102, 0.683)
Pd (0.646, 0.408, 0.238)
Pd (0.170, 0.408, 0.762)
Te (0.139, 0.139, 0.000)
Te (0.742, 0.242, 0.500)
Tm (0.023, 0.893, 0.130)
Tm (0.763, 0.893, 0.870)
Y (0.477, 0.477, 0.000)

# 2
The following is a PBE-GGA calculation of an optimized crystal structure of CsKZr, from the Open Quantum Materials Database.

Output
**Energy**: -5.79 eV for the cell shown
**Crystal system**: cubic
**E above lowest polymorph**: 63 meV/atom
**Calculated volume**: 63.17 Å³/atom

Cell: 6.447 6.447 6.447 Å, 60.00 60.00 60.00°
Fractional positions:
Cs (0.000, 0.000, 0.000)
K (0.250, 0.250, 0.250)
Zr (0.750, 0.750, 0.750)

# 3
The following is a PBE-GGA calculation of an optimized crystal structure of Cu3Ag, from the Open Quantum Materials Database.

Output
**Energy**: -27.37 eV for the cell shown
**Crystal system**: monoclinic
**DFT formation energy**: 0.07 eV per atom
**Calculated volume**: 13.35 Å³/atom

Cell: 4.628 4.628 7.514 Å, 113.25 113.25 47.36°
Fractional positions:
Ag (0.881, 0.881, 0.075)
Ag (0.119, 0.119, 0.925)
Cu (0.631, 0.631, 0.210)
Cu (0.376, 0.376, 0.330)
Cu (0.128, 0.128, 0.445)
Cu (0.872, 0.872, 0.555)
Cu (0.624, 0.624, 0.670)
Cu (0.369, 0.369, 0.790)

# 4
The following is a PBE-GGA calculation of an optimized crystal structure of LuSnOs2, from the Open Quantum Materials Database.

Output
**Energy**: -29.42 eV for the cell shown
**Crystal system**: cubic
**Calculated volume**: 18.10 Å³/atom

Cell: 4.678 4.678 4.678 Å, 60.00 60.00 60.00°
Fractional positions:
Lu (0.250, 0.250, 0.250)
Os (0.000, 0.000, 0.000)
Os (0.750, 0.750, 0.750)
Sn (0.500, 0.500, 0.500)

# 5
The following is a PBE-GGA calculation of an optimized crystal structure of PuTlCd, from the Open Quantum Materials Database.

Output
**Energy**: -16.94 eV for the cell shown
**Crystal system**: cubic
**Calculated volume**: 30.13 Å³/atom

Cell: 5.037 5.037 5.037 Å, 60.00 60.00 60.00°
Fractional positions:
Cd (0.250, 0.250, 0.250)
Pu (0.750, 0.750, 0.750)
Tl (0.000, 0.000, 0.000)

# 6
The following is a PBE-GGA calculation of an optimized crystal structure of SrInHg, from the Open Quantum Materials Database.

Output
**Energy**: -12.32 eV for the cell shown
**Crystal system**: monoclinic
**Calculated volume**: 29.32 Å³/atom

Cell: 6.369 6.369 7.996 Å, 127.53 127.53 46.42°
Fractional positions:
Hg (0.167, 0.167, 0.210)
Hg (0.833, 0.833, 0.790)
In (0.837, 0.837, 0.392)
In (0.163, 0.163, 0.608)
Sr (0.460, 0.460, 0.203)
Sr (0.540, 0.540, 0.797)

# 7
The following is a PBE-GGA calculation of an optimized crystal structure of NbCuAgB, from the Open Quantum Materials Database.

Output
**Energy**: -19.48 eV for the cell shown
**Crystal system**: cubic
**E above lowest polymorph**: 313 meV/atom
**Calculated volume**: 14.03 Å³/atom

Cell: 4.297 4.297 4.297 Å, 60.00 60.00 60.00°
Fractional positions:
Ag (0.250, 0.250, 0.250)
B (0.000, 0.000, 0.000)
Cu (0.750, 0.750, 0.750)
Nb (0.500, 0.500, 0.500)

# 8
The following is a PBE-GGA calculation of an optimized crystal structure of CdFeCoAs, from the Open Quantum Materials Database.

Output
**Energy**: -19.65 eV for the cell shown
**Crystal system**: cubic
**E above lowest polymorph**: 0 meV/atom
**Calculated volume**: 14.35 Å³/atom

Cell: 4.330 4.330 4.330 Å, 60.00 60.00 60.00°
Fractional positions:
As (0.000, 0.000, 0.000)
Cd (0.500, 0.500, 0.500)
Co (0.750, 0.750, 0.750)
Fe (0.250, 0.250, 0.250)

| no. | calculated density (g cm⁻³) |
| --- | --- |
| 1 | 9.06 |
| 2 | 2.31 |
| 3 | 9.28 |
| 4 | 15.46 |
| 5 | 10.30 |
| 6 | 7.61 |
| 7 | 8.14 |
| 8 | 8.74 |